No. 1
VASP calculation (PBE-GGA) on a relaxed structure of BeGeF.

```
BeGeF
1.0
7.476 0.000 0.000
0.000 4.422 0.000
-2.510 0.000 5.275
Be Ge F
4 4 4
direct
0.133 0.000 0.484
0.367 0.500 0.516
0.633 0.500 0.484
0.867 0.000 0.516
0.144 0.920 0.923
0.356 0.420 0.077
0.644 0.420 0.923
0.856 0.920 0.077
0.173 0.341 0.467
0.327 0.841 0.533
0.673 0.841 0.467
0.827 0.341 0.533
```

Summary:
SG   C2

No. 2
VASP calculation (PBE-GGA) on a relaxed structure of BeGeF.

```
BeGeF
1.0
13.578 0.000 0.000
0.000 2.855 0.000
0.000 0.000 4.619
Be Ge F
4 4 4
direct
0.000 0.000 0.000
0.000 0.500 0.500
0.500 0.000 0.180
0.500 0.500 0.680
0.146 0.000 0.343
0.146 0.500 0.843
0.854 0.000 0.343
0.854 0.500 0.843
0.420 0.000 0.933
0.420 0.500 0.433
0.580 0.000 0.933
0.580 0.500 0.433
```

Summary:
SG   Amm2

No. 3
VASP calculation (PBE-GGA) on a relaxed structure of BeGeF.

```
BeGeF
1.0
2.989 0.000 0.000
0.000 6.677 0.000
0.000 0.000 4.388
Be Ge F
2 2 2
direct
0.000 0.138 0.000
0.000 0.862 0.500
0.500 0.404 0.907
0.500 0.596 0.407
0.000 0.069 0.336
0.000 0.931 0.836
```

Summary:
SG   Pmc2_1

| no. | ΔE_f (raw) (meV/atom) | relative energy among the computed polymorphs (meV per atom) | total magnetization (μB/cell) |
| --- | --- | --- | --- |
| 1 | -1340 | 24.0 | 0.00 |
| 2 | -1002 | 362.5 | 0.00 |
| 3 | -1364 | 0.0 | 0.00 |